(1)
# CuTe3

A relaxed CuTe3 crystal (GGA-PBEsol, Alexandria via LeMat-Bulk).

Results
- Symmetry: Pnma, No. 62
- Uncorrected formation energy: 0.0770 eV per atom
- Calculated volume: 28.4 A^3/atom

Structure (POSCAR):
```
CuTe3
1.0
6.115 0.000 0.000
0.000 7.836 0.000
0.000 0.000 9.482
Cu Te
4 12
Cartesian
5.391 4.486 2.371 Cu
3.782 0.568 7.112 Cu
2.333 7.268 2.371 Cu
0.724 3.350 7.112 Cu
5.420 1.986 2.371 Te
3.753 5.904 7.112 Te
2.362 1.933 2.371 Te
0.695 5.851 7.112 Te
0.654 6.000 0.731 Te
2.404 2.082 8.751 Te
3.712 5.754 4.010 Te
5.462 1.836 5.473 Te
5.462 1.836 8.751 Te
3.712 5.754 0.731 Te
2.404 2.082 5.473 Te
0.654 6.000 4.010 Te
```



(2)
# H6PbCI3N

A relaxed H6PbCI3N crystal (GGA-PBEsol, Alexandria via LeMat-Bulk).

Results
- Symmetry: Pnma, No. 62
- Total DFT energy (no corrections): -4.3493 eV per atom
- Calculated volume: 19.8 A^3/atom

Structure (POSCAR):
```
H6PbCI3N
1.0
8.421 0.000 0.000
0.000 8.943 0.000
0.000 0.000 12.601
H Pb C I N
24 4 4 12 4
Cartesian
2.612 3.883 3.150 H
1.598 8.354 3.150 H
5.808 5.061 9.450 H
6.823 0.589 9.450 H
3.997 3.167 2.248 H
0.213 7.638 4.053 H
4.424 5.777 8.548 H
8.207 1.305 10.353 H
4.424 5.777 10.353 H
8.207 1.305 8.548 H
3.997 3.167 4.053 H
0.213 7.638 2.248 H
4.096 5.584 2.305 H
0.114 1.113 3.995 H
4.324 3.359 8.606 H
8.307 7.831 10.295 H
4.324 3.359 10.295 H
8.307 7.831 8.606 H
4.096 5.584 3.995 H
0.114 1.113 2.305 H
3.000 4.015 9.450 H
1.211 8.486 9.450 H
5.421 4.929 3.150 H
7.210 0.457 3.150 H
4.210 0.000 0.000 Pb
0.000 4.472 6.300 Pb
4.210 0.000 6.300 Pb
0.000 4.472 0.000 Pb
3.701 3.720 3.150 C
0.510 8.192 3.150 C
4.720 5.223 9.450 C
7.911 0.751 9.450 C
4.729 8.807 3.150 I
7.902 4.336 3.150 I
3.692 0.136 9.450 I
0.519 4.607 9.450 I
2.684 6.165 0.254 I
1.527 1.694 6.046 I
5.737 2.778 6.555 I
6.894 7.250 12.346 I
5.737 2.778 12.346 I
6.894 7.250 6.555 I
2.684 6.165 6.046 I
1.527 1.694 0.254 I
4.042 3.909 9.450 N
0.169 8.380 9.450 N
4.379 5.035 3.150 N
8.252 0.563 3.150 N
```



(3)
# SrLi4Zr

A relaxed SrLi4Zr crystal (GGA-PBEsol, Alexandria via LeMat-Bulk).

Results
- Symmetry: F-43m, No. 216
- Total DFT energy (no corrections): -2.7899 eV per atom
- Calculated volume: 23.6 A^3/atom

Structure (POSCAR):
```
SrLi4Zr
1.0
-2.633 0.446 -5.206
3.183 -0.124 -4.908
-0.274 -4.645 -3.548
Li Sr Zr
4 1 1
Cartesian
0.102 -1.606 -5.076 Li
-0.038 -3.992 -6.899 Li
-1.250 -1.377 -7.751 Li
1.737 -1.670 -7.598 Li
0.207 -3.242 -10.246 Sr
0.000 0.000 0.000 Zr
```



(4)
# AlCuSe2

A relaxed AlCuSe2 crystal (GGA-PBEsol, Alexandria via LeMat-Bulk).

Results
- Symmetry: Cm, No. 8
- Uncorrected formation energy: -0.2777 eV per atom
- Calculated volume: 17.7 A^3/atom

Structure (POSCAR):
```
AlCuSe2
1.0
-3.573 -0.054 -0.593
-0.114 -3.479 1.002
0.975 3.279 4.895
Cu Se Al
1 2 1
Cartesian
-0.435 0.755 2.552 Cu
-0.042 0.076 0.246 Se
-2.250 -1.062 2.592 Se
-0.854 1.490 5.012 Al
```



(5)
# CrOsAu2

A relaxed CrOsAu2 crystal (GGA-PBEsol, Alexandria via LeMat-Bulk).

Results
- Symmetry: P4/mmm, No. 123
- Total DFT energy (no corrections): -7.1188 eV per atom
- Calculated volume: 15.0 A^3/atom

Structure (POSCAR):
```
CrOsAu2
1.0
3.851 0.000 0.000
0.000 3.851 0.000
0.000 0.000 4.044
Au Cr Os
2 1 1
Cartesian
0.000 1.926 0.000 Au
1.926 0.000 0.000 Au
1.926 1.926 2.022 Cr
0.000 0.000 2.022 Os
```



(6)
# TaInPS2

A relaxed TaInPS2 crystal (GGA-PBEsol, Alexandria via LeMat-Bulk).

Results
- Symmetry: P4/mmm, No. 123
- Uncorrected formation energy: -0.2613 eV per atom
- Calculated volume: 22.1 A^3/atom

Structure (POSCAR):
```
TaInPS2
1.0
-1.447 -3.404 -2.944
4.489 -1.318 -0.681
-0.345 -3.137 3.797
P S In Ta
1 2 1 1
Cartesian
-0.173 -1.568 1.898 P
2.244 -0.659 -0.340 S
-0.723 -1.702 -1.472 S
1.349 -3.930 0.086 In
0.000 0.000 0.000 Ta
```



(7)
# IrPbCl2

A relaxed IrPbCl2 crystal (GGA-PBEsol, Alexandria via LeMat-Bulk).

Results
- Symmetry: P4mm, No. 99
- Uncorrected formation energy: 0.2058 eV per atom
- Calculated volume: 20.3 A^3/atom

Structure (POSCAR):
```
IrPbCl2
1.0
3.449 0.000 0.000
0.000 3.449 0.000
0.000 0.000 6.835
Pb Ir Cl
1 1 2
Cartesian
1.724 1.724 5.044 Pb
0.000 0.000 2.720 Ir
0.000 0.000 0.198 Cl
1.724 1.724 2.291 Cl
```



(8)
# Li2ZnPt

A relaxed Li2ZnPt crystal (GGA-PBEsol, Alexandria via LeMat-Bulk).

Results
- Symmetry: C2/m, No. 12
- Total DFT energy (no corrections): -3.5655 eV per atom
- Calculated volume: 13.5 A^3/atom

Structure (POSCAR):
```
Li2ZnPt
1.0
-1.911 -0.812 1.958
1.784 -3.938 0.108
3.049 3.086 2.176
Zn Pt Li
1 1 2
Cartesian
-0.955 -0.406 0.979 Zn
0.892 -1.969 0.054 Pt
1.524 0.338 1.628 Li
1.397 -2.002 2.614 Li
```



(9)
# LiBe2Al

A relaxed LiBe2Al crystal (GGA-PBEsol, Alexandria via LeMat-Bulk).

Results
- Symmetry: P4/mmm, No. 123
- Total DFT energy (no corrections): -3.3011 eV per atom
- Calculated volume: 11.2 A^3/atom

Structure (POSCAR):
```
LiBe2Al
1.0
2.820 0.000 0.000
0.000 2.820 0.000
0.000 0.000 5.622
Be Al Li
2 1 1
Cartesian
0.000 0.000 4.302 Be
0.000 0.000 1.320 Be
1.410 1.410 2.811 Al
1.410 1.410 0.000 Li
```



(10)
# Cs2PtPb

A relaxed Cs2PtPb crystal (GGA-PBEsol, Alexandria via LeMat-Bulk).

Results
- Symmetry: I-42d, No. 122
- Total DFT energy (no corrections): -3.2264 eV per atom
- Calculated volume: 50.8 A^3/atom

Structure (POSCAR):
```
Cs2PtPb
1.0
-2.414 -2.297 3.944
-5.504 -6.419 -3.727
5.355 -7.095 2.524
Pb Cs Pt
2 4 2
Cartesian
-1.885 -8.480 2.356 Pb
0.000 0.000 0.000 Pb
-3.478 -8.519 -1.177 Cs
1.519 -6.718 2.931 Cs
-1.978 -4.176 0.582 Cs
-1.188 -12.210 3.145 Cs
-0.678 -7.331 0.384 Pt
-1.207 -1.149 1.972 Pt
```



(11)
# HfTaPS2

A relaxed HfTaPS2 crystal (GGA-PBEsol, Alexandria via LeMat-Bulk).

Results
- Symmetry: P4/mmm, No. 123
- Uncorrected formation energy: 0.4192 eV per atom
- Calculated volume: 21.9 A^3/atom

Structure (POSCAR):
```
HfTaPS2
1.0
4.708 0.000 0.000
0.000 4.708 0.000
0.000 0.000 4.931
P S Hf Ta
1 2 1 1
Cartesian
0.000 0.000 2.466 P
0.000 2.354 0.000 S
2.354 0.000 0.000 S
0.000 0.000 0.000 Hf
2.354 2.354 2.466 Ta
```



(12)
# Si5Sb

A relaxed Si5Sb crystal (GGA-PBEsol, Alexandria via LeMat-Bulk).

Results
- Symmetry: F-43m, No. 216
- Uncorrected formation energy: 0.5112 eV per atom
- Calculated volume: 16.6 A^3/atom

Structure (POSCAR):
```
Si5Sb
1.0
5.204 0.000 0.000
2.602 4.507 0.000
2.602 1.502 4.249
Sb Si
1 5
Cartesian
0.000 0.000 0.000 Sb
2.602 1.502 1.062 Si
5.204 1.513 2.652 Si
5.204 3.005 0.542 Si
6.497 3.751 2.652 Si
3.912 3.751 2.652 Si
```